! Pu4Nb6O19 (GGA-PBE, relaxed); values from VASP
&SYSTEM
  ibrav = 0, nat = 29, ntyp = 3
/
ATOMIC_SPECIES
O 16.00 O.upf
Pu 244.00 Pu.upf
Nb 92.91 Nb.upf
CELL_PARAMETERS angstrom
-1.036 -2.974 -7.311
7.662 -0.639 2.064
-4.489 -4.055 5.174
ATOMIC_POSITIONS crystal
O 0.359 0.330 0.608
O 0.670 0.029 0.278
O 0.641 0.249 0.971
O 0.722 0.751 0.392
O 0.000 0.324 0.324
O 0.392 0.722 0.751
O 0.676 0.000 0.676
O 0.330 0.608 0.359
O 0.000 0.000 0.000
O 0.676 0.676 0.000
O 0.324 0.000 0.324
O 0.249 0.971 0.641
O 0.971 0.641 0.249
O 0.608 0.359 0.330
O 0.029 0.278 0.670
O 0.324 0.324 0.000
O 0.751 0.392 0.722
O 0.000 0.676 0.676
O 0.278 0.670 0.029
Pu 0.000 0.000 0.709
Pu 0.709 0.000 0.000
Pu 0.291 0.291 0.291
Pu 0.000 0.709 0.000
Nb 0.851 0.351 0.500
Nb 0.500 0.149 0.649
Nb 0.351 0.500 0.851
Nb 0.649 0.500 0.149
Nb 0.500 0.851 0.351
Nb 0.149 0.649 0.500
! space group: No. 197
! energy relative to the elements, uncorrected: -2.63 eV per atom


! Na2TiFeP (GGA-PBE, relaxed); values from VASP
&SYSTEM
  ibrav = 0, nat = 5, ntyp = 4
/
ATOMIC_SPECIES
Ti 47.87 Ti.upf
Fe 55.84 Fe.upf
P 30.97 P.upf
Na 22.99 Na.upf
CELL_PARAMETERS angstrom
4.979 0.000 0.000
0.000 4.979 0.000
0.000 0.000 4.159
ATOMIC_POSITIONS crystal
Ti 0.500 0.500 0.500
Fe 0.000 0.000 0.000
P 0.000 0.000 0.500
Na 0.000 0.500 0.000
Na 0.500 0.000 0.000
! energy relative to the lowest polymorph listed for this composition: 0.204 eV per atom
! space group: No. 123
! E_form: 0.871 eV/atom


! Na3Ag2Hg3 (GGA-PBE, relaxed); values from VASP
&SYSTEM
  ibrav = 0, nat = 8, ntyp = 3
/
ATOMIC_SPECIES
Hg 200.59 Hg.upf
Na 22.99 Na.upf
Ag 107.87 Ag.upf
CELL_PARAMETERS angstrom
4.339 0.007 -0.005
0.010 4.658 0.336
2.163 1.818 9.323
ATOMIC_POSITIONS crystal
Hg 0.639 0.138 0.724
Hg 0.500 0.500 0.000
Hg 0.361 0.862 0.276
Na 0.866 0.369 0.266
Na 0.000 0.000 0.000
Na 0.134 0.631 0.734
Ag 0.248 0.246 0.503
Ag 0.752 0.754 0.497
! space group: No. 2
! E_form: -0.133 eV/atom


! Tb2Sm3Tm9 (GGA-PBE, relaxed); values from VASP
&SYSTEM
  ibrav = 0, nat = 14, ntyp = 3
/
ATOMIC_SPECIES
Tm 168.93 Tm.upf
Sm 150.36 Sm.upf
Tb 158.93 Tb.upf
CELL_PARAMETERS angstrom
5.852 0.979 1.815
4.321 11.265 5.427
2.430 3.731 9.266
ATOMIC_POSITIONS crystal
Tm 0.194 0.106 0.514
Tm 0.983 0.509 0.160
Tm 0.414 0.690 0.993
Tm 0.000 0.500 0.500
Tm 0.017 0.491 0.840
Tm 0.806 0.894 0.486
Tm 0.586 0.310 0.007
Tm 0.740 0.916 0.835
Tm 0.260 0.084 0.165
Sm 0.357 0.731 0.653
Sm 0.643 0.269 0.347
Sm 0.000 0.000 0.000
Tb 0.579 0.299 0.670
Tb 0.421 0.701 0.330
! space group: No. 2
! E_form: 0.116 eV/atom


! AcPmNdHo (GGA-PBE, relaxed); values from VASP
&SYSTEM
  ibrav = 0, nat = 4, ntyp = 4
/
ATOMIC_SPECIES
Ac 227.00 Ac.upf
Ho 164.93 Ho.upf
Nd 144.24 Nd.upf
Pm 145.00 Pm.upf
CELL_PARAMETERS angstrom
5.903 0.000 0.000
2.952 5.112 0.000
2.952 1.704 4.820
ATOMIC_POSITIONS crystal
Ac 0.500 0.500 0.500
Ho 0.750 0.750 0.750
Nd 0.250 0.250 0.250
Pm 0.000 0.000 0.000
! energy relative to the lowest polymorph listed for this composition: 0.085 eV per atom
! space group: No. 216
! E_form: 0.137 eV/atom


! Sn3P3O13 (GGA-PBE, relaxed); values from VASP
&SYSTEM
  ibrav = 0, nat = 38, ntyp = 3
/
ATOMIC_SPECIES
Sn 118.71 Sn.upf
O 16.00 O.upf
P 30.97 P.upf
CELL_PARAMETERS angstrom
-2.449 -3.121 -5.311
-3.301 -5.254 4.611
-9.612 5.365 1.280
ATOMIC_POSITIONS crystal
Sn 0.250 0.640 0.202
Sn 0.250 0.225 0.455
Sn 0.750 0.360 0.798
Sn 0.500 0.000 0.000
Sn 0.000 0.000 0.000
Sn 0.750 0.775 0.545
O 0.562 0.650 0.203
O 0.750 0.647 0.741
O 0.567 0.246 0.437
O 0.250 0.971 0.406
O 0.250 0.651 0.384
O 0.438 0.350 0.797
O 0.250 0.353 0.259
O 0.062 0.350 0.797
O 0.750 0.837 0.346
O 0.250 0.163 0.654
O 0.067 0.754 0.563
O 0.750 0.126 0.910
O 0.750 0.349 0.616
O 0.444 0.207 0.097
O 0.556 0.793 0.903
O 0.944 0.793 0.903
O 0.250 0.874 0.090
O 0.250 0.080 0.880
O 0.933 0.246 0.437
O 0.938 0.650 0.203
O 0.750 0.920 0.120
O 0.250 0.495 0.055
O 0.750 0.029 0.594
O 0.750 0.505 0.945
O 0.056 0.207 0.097
O 0.433 0.754 0.563
P 0.750 0.212 0.522
P 0.250 0.788 0.478
P 0.750 0.692 0.877
P 0.250 0.243 0.773
P 0.250 0.308 0.123
P 0.750 0.757 0.227
! space group: No. 11
! energy relative to the elements, uncorrected: -1.86 eV per atom


Number 1: magnetization 18.0 μB per cell. Number 2: magnetization 0.0 μB per cell. Number 3: magnetization 0.0 μB per cell. Number 4: magnetization 0.0 μB per cell. Number 5: magnetization 0.0 μB per cell. Number 6: magnetization 0.0 μB per cell.